W2C: relaxed, GGA-PBEsol.

a b c (Å): 4.7201 5.1893 6.0406
angles (deg): 90.00 90.00 90.00
Closest atoms and distances in Å follow each position.
Atoms (fractional coordinates):
W 0.7562 0.0811 0.8771  3 C 2.10-2.11
C 0.5000 0.7500 0.8783  6 W 2.10-2.11
W 0.7562 0.5811 0.1229  3 C 2.10-2.11
W 0.2438 0.4189 0.8771  3 C 2.10-2.11
W 0.7438 0.5811 0.6229  3 C 2.10-2.11
W 0.7438 0.0811 0.3771  3 C 2.10-2.11
C 0.5000 0.2500 0.1217  6 W 2.10-2.11
C 0.0000 0.2500 0.6217  6 W 2.10-2.11
W 0.2438 0.9189 0.1229  3 C 2.10-2.11
W 0.2562 0.9189 0.6229  3 C 2.10-2.11
C 0.0000 0.7500 0.3783  6 W 2.10-2.11
W 0.2562 0.4189 0.3771  3 C 2.10-2.11

## Properties
Spin magnetization in μB per atom: 0.00
DOS(E_F) in states/eV/f.u.: 1.32
SG: No. 60
Formation enthalpy at 0 K in eV per atom: -0.079